Entry from Alexandria via LeMat-Bulk: a relaxed NpCd4Pt2 crystal (PBE).

a b c (Å): 7.1223 5.7670 5.7820
angles (deg): 120.21 90.19 127.31
Last column: nearest neighbours and their distance in Å.
Atoms (fractional coordinates):
Np1 0.0000 0.0000 0.0000  2 Pt 2.75
Pt1 0.5422 0.5418 0.2712  1 Np 2.75, 6 Cd 2.85-2.89, 2 Pt 2.92
Pt2 0.4578 0.4582 0.7288  1 Np 2.75, 6 Cd 2.85-2.89, 2 Pt 2.92
Cd1 0.4989 0.9984 0.7487  4 Pt 2.88-2.89, 6 Cd 2.89-3.05
Cd2 0.9995 0.6665 0.3326  2 Pt 2.85, 4 Cd 3.02-3.05
Cd3 0.5011 0.0016 0.2513  4 Pt 2.88-2.89, 6 Cd 2.89-3.05
Cd4 0.0005 0.3335 0.6674  2 Pt 2.85, 4 Cd 3.02-3.05

Calculated values
Energy of formation from the pure elements, kJ per mole of atoms: -18
Uncorrected energy, eV/atom: -4.280
Total moment, μB per formula unit: 3.84
Calculated density, g cm⁻³: 12.3
SG: P-1 (2)